Entry 1:
## Ca2H2Ir (PBE-GGA)

Data for a geometry-optimized Ca2H2Ir structure. Values from VASP.

## Properties
**Space group**: I4/mmm, No. 139
**Polymorph energy (0 for the lowest one)**: 0.295 eV/atom

```
&SYSTEM
  ibrav = 0, nat = 5, ntyp = 3
/
ATOMIC_SPECIES
Ca 40.08 Ca.upf
H 1.01 H.upf
Ir 192.22 Ir.upf
ATOMIC_POSITIONS angstrom
Ca 0.0000 0.0000 1.9051
Ca 0.0000 0.0000 11.3199
H 1.7115 0.0000 3.3063
H 0.0000 1.7115 3.3063
Ir 0.0000 0.0000 6.6125
CELL_PARAMETERS angstrom
-1.7115 1.7115 6.6125
1.7115 -1.7115 6.6125
1.7115 1.7115 -6.6125
```



Entry 2:
## Dy2Ge4IrPt3 (PBE-GGA)

Data for a geometry-optimized Dy2Ge4IrPt3 structure. Values from VASP.

## Properties
**Space group**: P-4m2, No. 115
**DFT formation energy**: -0.86 eV per atom

```
&SYSTEM
  ibrav = 0, nat = 10, ntyp = 4
/
ATOMIC_SPECIES
Dy 162.50 Dy.upf
Ge 72.64 Ge.upf
Ir 192.22 Ir.upf
Pt 195.08 Pt.upf
ATOMIC_POSITIONS angstrom
Dy 0.0000 2.0621 2.6148
Dy 2.0621 0.0000 8.2452
Ge 0.0000 0.0000 5.4300
Ge 0.0000 2.0621 9.3942
Ge 2.0621 0.0000 1.4658
Ge 2.0621 2.0621 5.4300
Ir 2.0621 2.0621 0.0000
Pt 0.0000 0.0000 0.0000
Pt 0.0000 2.0621 6.9684
Pt 2.0621 0.0000 3.8916
CELL_PARAMETERS angstrom
4.1243 0.0000 0.0000
0.0000 4.1243 0.0000
0.0000 0.0000 10.8600
```



Entry 3:
## NdSnIr (PBE-GGA)

Data for a geometry-optimized NdSnIr structure. Values from VASP.

## Properties
**Space group**: P-6m2, No. 187
**DFT formation energy**: -0.60 eV per atom

```
&SYSTEM
  ibrav = 0, nat = 3, ntyp = 3
/
ATOMIC_SPECIES
Nd 144.24 Nd.upf
Sn 118.71 Sn.upf
Ir 192.22 Ir.upf
ATOMIC_POSITIONS angstrom
Nd 0.0000 0.0000 0.0000
Sn 2.3179 1.3382 1.9095
Ir 0.0000 2.6765 1.9095
CELL_PARAMETERS angstrom
4.6358 0.0000 0.0000
-2.3179 4.0147 0.0000
0.0000 0.0000 3.8190
```



Entry 4:
## CrRePb2 (PBE-GGA)

Data for a geometry-optimized CrRePb2 structure. Values from VASP.

## Properties
**Space group**: F-43m, No. 216
**DFT formation energy**: 1.11 eV per atom
**Polymorph energy (0 for the lowest one)**: 0.706 eV/atom

```
&SYSTEM
  ibrav = 0, nat = 4, ntyp = 3
/
ATOMIC_SPECIES
Cr 52.00 Cr.upf
Re 186.21 Re.upf
Pb 207.20 Pb.upf
ATOMIC_POSITIONS angstrom
Cr 0.0000 0.0000 0.0000
Re 5.2082 5.2082 5.2082
Pb 1.7361 1.7361 1.7361
Pb 3.4721 3.4721 3.4721
CELL_PARAMETERS angstrom
0.0000 3.4721 3.4721
3.4721 0.0000 3.4721
3.4721 3.4721 0.0000
```



Result set for total energy: -4.13; -6.33; -6.48; -6.26 eV/atom, one per record in the order listed.
Result set for density of states at the Fermi level: 0.323; 0.468; 0.598; 1.368 states/eV/atom, one per record in the order listed.